[1]
# YHgP

A relaxed structure of YHgP (PBE, Alexandria via LeMat-Bulk).

Cell: 4.8310 4.8310 4.8310 Å, 60.00 60.00 60.00°
Closest atoms and distances in Å follow each position.
Positions (direct):
1 P 0.5000 0.5000 0.5000  4 Y 2.96
2 Y 0.7500 0.7500 0.7500  4 Hg 2.96, 4 P 2.96
3 Hg 0.0000 0.0000 0.0000  4 Y 2.96

Properties
* DFT formation energy: -0.503 eV per atom
* distance to the lowest polymorph of the same formula: 207.1 meV per atom
* space-group type: No. 216
* crystal system: cubic
* theoretical density: 6.67 g cm⁻³
* magnetization: 0.00 μB per atom


[2]
# Y2HgP

A relaxed structure of Y2HgP (PBE, Alexandria via LeMat-Bulk).

Cell: 5.0895 5.0895 5.0895 Å, 60.00 60.00 60.00°
Closest atoms and distances in Å follow each position.
Positions (direct):
1 P 0.0000 0.0000 0.0000  8 Y 3.12
2 Y 0.2500 0.2500 0.2500  4 Hg 3.12, 4 P 3.12
3 Y 0.7500 0.7500 0.7500  4 P 3.12, 4 Hg 3.12
4 Hg 0.5000 0.5000 0.5000  8 Y 3.12

Properties
* DFT formation energy: -0.604 eV per atom
* distance to the lowest polymorph of the same formula: 415.1 meV per atom
* space-group type: No. 225
* crystal system: cubic
* theoretical density: 7.29 g cm⁻³
* magnetization: 0.00 μB per atom


[3]
# YHgP3

A relaxed structure of YHgP3 (PBE, Alexandria via LeMat-Bulk).

Cell: 4.9367 4.9367 4.9367 Å, 90.00 90.00 90.00°
Closest atoms and distances in Å follow each position.
Positions (direct):
1 Hg 0.0000 0.0000 0.0000  6 P 2.47
2 P 0.0000 0.5000 0.0000  2 Hg 2.47
3 Y 0.5000 0.5000 0.5000  12 P 3.49
4 P 0.0000 0.0000 0.5000  2 Hg 2.47
5 P 0.5000 0.0000 0.0000  2 Hg 2.47

Properties
* DFT formation energy: 0.591 eV per atom
* distance to the lowest polymorph of the same formula: 0.0 meV per atom
* space-group type: No. 221
* crystal system: cubic
* theoretical density: 5.28 g cm⁻³
* magnetization: 0.00 μB per atom